! Li4Cr3Cu3W2O16 (GGA+U, optimized geometry); values from VASP
! energy: -6.54 eV/atom
! N(E_F): 0.18 states/eV/atom
&SYSTEM
  ibrav = 0, nat = 28, ntyp = 5
/
ATOMIC_SPECIES
Cu 63.55 Cu.upf
Cr 52.00 Cr.upf
O 16.00 O.upf
Li 6.94 Li.upf
W 183.84 W.upf
CELL_PARAMETERS angstrom
-3.673 4.438 1.417
2.788 -2.848 4.331
7.225 6.661 -0.043
ATOMIC_POSITIONS crystal
Cu 0.169 0.337 0.212
Cu 0.165 0.828 0.212
Cu 0.334 0.171 0.711
Cr 0.659 0.830 0.215
Cr 0.824 0.166 0.715
Cr 0.827 0.660 0.713
O 0.316 0.171 0.082
O 0.659 0.833 0.601
O 0.506 0.047 0.844
O 0.001 0.994 0.801
O 0.663 0.336 0.615
O 0.952 0.471 0.840
O 0.332 0.665 0.120
O 0.146 0.792 0.577
O 0.539 0.518 0.857
O 0.515 0.973 0.361
O 0.173 0.332 0.590
O 0.068 0.513 0.352
O 0.779 0.140 0.077
O 0.999 0.001 0.295
O 0.798 0.640 0.088
O 0.532 0.545 0.363
Li 0.021 0.009 0.483
Li 0.696 0.340 0.412
Li 0.993 0.000 0.988
Li 0.323 0.675 0.911
W 0.651 0.340 0.985
W 0.359 0.673 0.487